! GGA+U SrTl3W2O9, optimized geometry; values from VASP
&SYSTEM
  ibrav = 0, nat = 15, ntyp = 4
/
ATOMIC_SPECIES
Sr 87.62 Sr.upf
Tl 204.38 Tl.upf
W 183.84 W.upf
O 16.00 O.upf
ATOMIC_POSITIONS crystal
Sr 0.000 0.000 0.500
Tl 0.333 0.667 0.694
Tl 0.000 0.000 0.000
Tl 0.667 0.333 0.306
W 0.333 0.667 0.156
W 0.667 0.333 0.844
O 0.823 0.177 0.718
O 0.823 0.645 0.718
O 0.355 0.177 0.718
O 0.645 0.823 0.282
O 0.177 0.355 0.282
O 0.177 0.823 0.282
O 0.500 0.000 0.000
O 0.000 0.500 0.000
O 0.500 0.500 0.000
CELL_PARAMETERS angstrom
-2.912 0.180 5.092
3.684 -4.429 -1.119
5.882 4.079 3.219
! Fermi-level density of states in states/eV per cell: 1.74
! Energy in eV/atom: -6.21